(1)
# PBE-GGA Sm4HPt2, relaxed
data_Sm4HPt2
_cell_length_a 4.657
_cell_length_b 4.657
_cell_length_c 8.228
_cell_angle_alpha 73.56
_cell_angle_beta 73.56
_cell_angle_gamma 90.00
_symmetry_space_group_name_H-M 'P 1'
_symmetry_Int_Tables_number 1
loop_
_symmetry_equiv_pos_as_xyz
'x,y,z'
loop_
_atom_site_label
_atom_site_fract_x
_atom_site_fract_y
_atom_site_fract_z
H1 0.000 0.000 0.000
Sm1 0.813 0.813 0.373
Sm2 0.187 0.187 0.627
Sm3 0.000 0.500 0.000
Sm4 0.500 0.000 0.000
Pt1 0.631 0.631 0.738
Pt2 0.369 0.369 0.262
# - total magnetization (μB/cell) = 0.0
# - raw total energy (eV/atom) = -5.6297
# - SG = I4/mmm, No. 139

=====

(2)
# PBE-GGA SmH4Pt, relaxed
data_SmH4Pt
_cell_length_a 4.173
_cell_length_b 4.511
_cell_length_c 4.511
_cell_angle_alpha 61.09
_cell_angle_beta 62.46
_cell_angle_gamma 62.46
_symmetry_space_group_name_H-M 'P 1'
_symmetry_Int_Tables_number 1
loop_
_symmetry_equiv_pos_as_xyz
'x,y,z'
loop_
_atom_site_label
_atom_site_fract_x
_atom_site_fract_y
_atom_site_fract_z
Sm1 0.002 0.503 0.499
H1 0.676 0.097 0.557
H2 0.328 0.908 0.440
H3 0.328 0.444 0.904
H4 0.676 0.561 0.093
Pt1 0.502 0.003 0.999
# - total magnetization (μB/cell) = 0.0
# - raw total energy (eV/atom) = -4.5323
# - SG = Immm, No. 71